# PBE+U NiAg2GeO4, relaxed
data_NiAg2GeO4
_chemical_formula_sum 'Ni4 Ag8 Ge4 O16'
_cell_length_a 6.261
_cell_length_b 6.518
_cell_length_c 11.059
_cell_angle_alpha 90.00
_cell_angle_beta 90.00
_cell_angle_gamma 90.00
_space_group_name_H-M_alt 'F m m 2'
_space_group_IT_number 42
_space_group_name_Hall 'F 2 -2'
loop_
_atom_site_label
_atom_site_type_symbol
_atom_site_fract_x
_atom_site_fract_y
_atom_site_fract_z
Ni1 Ni 0.000 0.000 0.000
Ag1 Ag 0.250 0.250 0.261
Ge1 Ge 0.000 0.000 0.516
O1 O 0.000 0.225 0.425
O2 O 0.239 0.000 0.605
# density	6.1	g/cm³
# DFT total energy	-4.9376	eV per atom
# M_tot	2.0	μB/f.u.